VASP calculation (PBE-GGA) on a geometry-optimized Li2TaTc structure. Values from VASP.

Output
Energy relative to the elements ... 0.14 eV per atom
Space group ... No. 35
Relative energy among the computed polymorphs ... 0.000 eV/atom

The structure in Quantum ESPRESSO input format:
```
&SYSTEM
  ibrav = 0, nat = 4, ntyp = 3
/
ATOMIC_SPECIES
Li 6.94 Li.upf
Ta 180.95 Ta.upf
Tc 98.00 Tc.upf
CELL_PARAMETERS angstrom
-1.9229 1.3629 -1.5510
2.0701 -1.0748 -1.5876
-4.8013 -7.8504 -0.9460
ATOMIC_POSITIONS crystal
Li 0.0000 0.0000 0.9796
Li 0.5000 0.5000 0.2544
Ta 0.0000 0.0000 0.5228
Tc 0.5000 0.5000 0.7432
```

VASP calculation (PBE-GGA) on a geometry-optimized MgCu2 structure. Values from VASP.

Output
Energy relative to the elements ... -0.07 eV per atom
Space group ... No. 63

The structure in Quantum ESPRESSO input format:
```
&SYSTEM
  ibrav = 0, nat = 6, ntyp = 2
/
ATOMIC_SPECIES
Cu 63.55 Cu.upf
Mg 24.30 Mg.upf
CELL_PARAMETERS angstrom
4.9458 -0.0989 0.0000
-2.8148 4.0679 0.0000
0.0000 0.0000 4.3415
ATOMIC_POSITIONS crystal
Cu 0.4956 0.1282 0.2500
Cu 0.5044 0.8718 0.7500
Cu 0.1282 0.4956 0.2500
Cu 0.8718 0.5044 0.7500
Mg 0.7795 0.7795 0.2500
Mg 0.2205 0.2205 0.7500
```

VASP calculation (PBE-GGA) on a geometry-optimized YBSbI2 structure. Values from VASP.

Output
Space group ... No. 123
Relative energy among the computed polymorphs ... 0.000 eV/atom
ΔE_f (raw) ... 339 meV/atom

The structure in Quantum ESPRESSO input format:
```
&SYSTEM
  ibrav = 0, nat = 5, ntyp = 4
/
ATOMIC_SPECIES
I 126.90 I.upf
Sb 121.76 Sb.upf
B 10.81 B.upf
Y 88.91 Y.upf
CELL_PARAMETERS angstrom
-3.3228 3.2034 -1.7967
-2.0457 0.6117 4.8737
3.1407 3.7343 0.8496
ATOMIC_POSITIONS crystal
I 0.0000 0.0000 0.5000
I 0.5000 0.0000 0.0000
Sb 0.0000 0.5000 0.0000
B 0.0000 0.0000 0.0000
Y 0.5000 0.5000 0.5000
```

VASP calculation (PBE-GGA) on a geometry-optimized CaTaRu4 structure. Values from VASP.

Output
Energy relative to the elements ... 0.09 eV per atom
Space group ... No. 216

The structure in Quantum ESPRESSO input format:
```
&SYSTEM
  ibrav = 0, nat = 6, ntyp = 3
/
ATOMIC_SPECIES
Ca 40.08 Ca.upf
Ta 180.95 Ta.upf
Ru 101.07 Ru.upf
CELL_PARAMETERS angstrom
-3.9257 0.3075 3.4032
-4.7354 1.4366 -1.6125
-3.8625 -3.4847 -0.1610
ATOMIC_POSITIONS crystal
Ca 0.0000 0.0000 0.0000
Ta 0.7500 0.7500 0.7500
Ru 0.8740 0.3753 0.3753
Ru 0.3753 0.3753 0.8740
Ru 0.3753 0.8740 0.3753
Ru 0.3753 0.3753 0.3753
```

Density of states at the Fermi level values (in states/eV/cell) by entry order: 2.35; 1.61; 1.79; 5.81.